i | ## TmTaC2 (PBE-GGA)

Data for an optimized crystal structure of TmTaC2.

Geometry as POSCAR:
```
TmTaC2
1.0
5.697 0.000 0.000
0.000 3.446 0.000
0.000 0.000 11.040
Tm Ta C
4 4 8
direct
0.085 0.250 0.140
0.415 0.750 0.640
0.585 0.250 0.360
0.915 0.750 0.860
0.096 0.750 0.394
0.404 0.250 0.894
0.596 0.750 0.106
0.904 0.250 0.606
0.148 0.250 0.753
0.229 0.250 0.486
0.271 0.750 0.986
0.352 0.750 0.253
0.648 0.250 0.747
0.729 0.250 0.014
0.771 0.750 0.514
0.852 0.750 0.247
```

Space-group type ... Pnma (62)


ii | ## TmTaC2 (PBE-GGA)

Data for an optimized crystal structure of TmTaC2.

Geometry as POSCAR:
```
TmTaC2
1.0
1.626 0.939 5.749
-1.626 0.939 5.749
0.000 -1.878 5.749
Tm Ta C
1 1 2
direct
0.000 0.000 0.000
0.174 0.174 0.174
0.578 0.578 0.578
0.766 0.766 0.766
```

Space-group type ... R3m (160)


iii | ## TmTaC2 (PBE-GGA)

Data for an optimized crystal structure of TmTaC2.

Geometry as POSCAR:
```
TmTaC2
1.0
1.640 0.947 5.516
-1.640 0.947 5.516
0.000 -1.894 5.516
Tm Ta C
1 1 2
direct
0.000 0.000 0.000
0.500 0.500 0.500
0.241 0.241 0.241
0.759 0.759 0.759
```

Space-group type ... R-3m (166)


Quick one: least stable of them? ii


i | ## UTaC2 (PBE-GGA)

Data for an optimized crystal structure of UTaC2.

Geometry as POSCAR:
```
UTaC2
1.0
1.625 0.938 5.641
-1.625 0.938 5.641
0.000 -1.876 5.641
U Ta C
1 1 2
direct
0.000 0.000 0.000
0.500 0.500 0.500
0.241 0.241 0.241
0.759 0.759 0.759
```

Space-group type ... R-3m (166)


ii | ## UTaC2 (PBE-GGA)

Data for an optimized crystal structure of UTaC2.

Geometry as POSCAR:
```
UTaC2
1.0
1.602 0.925 5.872
-1.602 0.925 5.872
0.000 -1.849 5.872
U Ta C
1 1 2
direct
0.000 0.000 0.000
0.173 0.173 0.173
0.577 0.577 0.577
0.762 0.762 0.762
```

Space-group type ... R3m (160)


Quick one: least stable of them? ii


i | ## Ta3VC (PBE-GGA)

Data for an optimized crystal structure of Ta3VC.

Geometry as POSCAR:
```
Ta3VC
1.0
4.282 0.000 0.000
0.000 4.282 0.000
0.000 0.000 4.282
Ta V C
3 1 1
direct
0.000 0.000 0.500
0.000 0.500 0.000
0.500 0.000 0.000
0.500 0.500 0.500
0.000 0.000 0.000
```

Space-group type ... Pm-3m (221)


ii | ## Ta3VC (PBE-GGA)

Data for an optimized crystal structure of Ta3VC.

Geometry as POSCAR:
```
Ta3VC
1.0
4.587 0.000 0.000
0.000 4.587 0.000
0.000 0.000 4.587
Ta V C
3 1 1
direct
0.000 0.000 0.500
0.000 0.500 0.000
0.500 0.000 0.000
0.000 0.000 0.000
0.500 0.500 0.500
```

Space-group type ... Pm-3m (221)


Quick one: least stable of them? ii


i | ## TaVC (PBE-GGA)

Data for an optimized crystal structure of TaVC.

Geometry as POSCAR:
```
TaVC
1.0
2.131 -4.800 0.000
2.131 4.800 0.000
0.000 0.000 4.231
Ta V C
2 2 2
direct
0.226 0.774 0.750
0.774 0.226 0.250
0.500 0.500 0.000
0.500 0.500 0.500
0.310 0.690 0.250
0.690 0.310 0.750
```

Space-group type ... Cmcm (63)


ii | ## TaVC (PBE-GGA)

Data for an optimized crystal structure of TaVC.

Geometry as POSCAR:
```
TaVC
1.0
3.030 0.000 0.000
-1.515 2.624 0.000
0.000 0.000 4.744
Ta V C
1 1 1
direct
0.000 0.000 0.000
0.667 0.333 0.497
0.333 0.667 0.726
```

Space-group type ... P3m1 (156)


Quick one: least stable of them? i


i | ## Ta2WC2 (PBE-GGA)

Data for an optimized crystal structure of Ta2WC2.

Geometry as POSCAR:
```
Ta2WC2
1.0
-2.013 2.013 4.223
2.013 -2.013 4.223
2.013 2.013 -4.223
Ta W C
2 1 2
direct
0.169 0.169 0.000
0.831 0.831 0.000
0.500 0.500 0.000
0.250 0.750 0.500
0.750 0.250 0.500
```

Space-group type ... I4/mmm (139)


ii | ## Ta2WC2 (PBE-GGA)

Data for an optimized crystal structure of Ta2WC2.

Geometry as POSCAR:
```
Ta2WC2
1.0
6.749 0.000 0.000
0.000 6.749 0.000
0.000 0.000 2.823
Ta W C
4 2 4
direct
0.145 0.355 0.000
0.355 0.855 0.000
0.645 0.145 0.000
0.855 0.645 0.000
0.000 0.000 0.000
0.500 0.500 0.000
0.151 0.651 0.500
0.349 0.151 0.500
0.651 0.849 0.500
0.849 0.349 0.500
```

Space-group type ... P4/mbm (127)


Quick one: least stable of them? ii


i | ## TaWC3 (PBE-GGA)

Data for an optimized crystal structure of TaWC3.

Geometry as POSCAR:
```
TaWC3
1.0
3.981 0.000 0.000
0.000 3.981 0.000
0.000 0.000 3.981
Ta W C
1 1 3
direct
0.000 0.000 0.000
0.500 0.500 0.500
0.000 0.500 0.500
0.500 0.000 0.500
0.500 0.500 0.000
```

Space-group type ... Pm-3m (221)


ii | ## TaWC3 (PBE-GGA)

Data for an optimized crystal structure of TaWC3.

Geometry as POSCAR:
```
TaWC3
1.0
4.038 0.000 0.000
0.000 4.038 0.000
0.000 0.000 4.038
Ta W C
1 1 3
direct
0.000 0.000 0.000
0.500 0.500 0.500
0.000 0.000 0.500
0.000 0.500 0.000
0.500 0.000 0.000
```

Space-group type ... Pm-3m (221)


Quick one: least stable of them? ii